No. 1
GGA-PBE CsTbGeTe3, relaxed; calculated volume = 484.6 Å³ per cell
1.0
9.835 0.000 0.000
0.000 4.346 0.000
-4.852 0.000 11.339
Cs Tb Ge Te
2 2 2 6
Cartesian
0.946 1.086 3.175
4.036 3.259 8.165
-0.484 3.259 9.558
5.467 1.086 1.781
-1.548 1.086 6.298
6.531 3.259 5.041
-2.594 1.086 8.790
0.324 3.259 6.530
3.386 3.259 1.134
1.597 1.086 10.206
4.658 1.086 4.810
7.577 3.259 2.549

No. 2
GGA-PBE Cs2TcGe, relaxed; calculated volume = 163.1 Å³ per cell; formation energy = 1473 meV per atom
1.0
0.000 4.336 4.336
4.336 0.000 4.336
4.336 4.336 0.000
Cs Tc Ge
2 1 1
Cartesian
2.168 2.168 2.168
6.504 6.504 6.504
0.000 0.000 0.000
4.336 4.336 4.336

No. 3
GGA-PBE Cs3TcGe, relaxed; calculated volume = 248.8 Å³ per cell; formation energy = 1305 meV per atom
1.0
6.290 0.000 0.000
0.000 6.290 0.000
0.000 0.000 6.290
Cs Tc Ge
3 1 1
Cartesian
0.000 0.000 3.145
0.000 3.145 0.000
3.145 0.000 0.000
0.000 0.000 0.000
3.145 3.145 3.145

No. 4
GGA-PBE CsTiTcGe2, relaxed; calculated volume = 143.6 Å³ per cell; formation energy = 1376 meV per atom
1.0
5.024 0.000 0.000
0.000 5.024 0.000
0.000 0.000 5.689
Cs Ti Tc Ge
1 1 1 2
Cartesian
0.000 0.000 0.000
0.000 0.000 2.845
2.512 2.512 0.000
0.000 2.512 2.845
2.512 0.000 2.845

No. 5
GGA-PBE CsTlTcGe2, relaxed; calculated volume = 133.5 Å³ per cell; formation energy = 86 meV per atom
1.0
4.944 0.000 0.000
0.000 4.944 0.000
0.000 0.000 5.459
Cs Tl Tc Ge
1 1 1 2
Cartesian
0.000 0.000 0.000
2.472 2.472 0.000
2.472 2.472 2.730
0.000 2.472 2.730
2.472 0.000 2.730

No. 6
GGA-PBE CsTc2GeW, relaxed; calculated volume = 130.1 Å³ per cell; formation energy = 2360 meV per atom
1.0
4.773 0.000 0.000
0.000 4.773 0.000
0.000 0.000 5.711
Cs Tc Ge W
1 2 1 1
Cartesian
0.000 0.000 0.000
0.000 2.386 2.856
2.386 0.000 2.856
0.000 0.000 2.856
2.386 2.386 0.000

No. 7
GGA-PBE Cs2GeTe4, relaxed; calculated volume = 1167.6 Å³ per cell
1.0
12.930 0.000 0.000
0.000 11.795 0.000
0.000 0.000 7.657
Cs Ge Te
8 4 16
Cartesian
1.907 0.679 0.758
1.907 5.218 0.758
4.558 6.577 4.586
4.558 11.115 4.586
8.372 0.679 3.070
8.372 5.218 3.070
11.023 6.577 6.899
11.023 11.115 6.899
0.843 8.846 3.766
5.621 2.949 7.594
7.308 8.846 0.062
12.086 2.949 3.891
0.853 0.923 4.500
0.853 4.975 4.500
1.558 8.846 6.285
2.731 8.846 1.906
3.734 2.949 5.734
4.907 2.949 2.457
5.612 6.820 0.672
5.612 10.872 0.672
7.318 0.923 6.985
7.318 4.975 6.985
8.023 8.846 5.200
9.195 8.846 1.922
10.199 2.949 5.750
11.372 2.949 1.371
12.076 6.820 3.157
12.076 10.872 3.157

No. 8
GGA-PBE Cs3Ge2Te3, relaxed; calculated volume = 680.2 Å³ per cell
1.0
2.749 -6.896 0.000
2.749 6.896 0.000
0.000 0.000 17.939
Cs Ge Te
6 4 6
Cartesian
2.749 5.937 10.916
2.749 5.937 15.992
2.749 1.834 13.454
2.749 -1.834 4.485
2.749 -5.937 1.947
2.749 -5.937 7.023
2.749 3.700 1.493
2.749 3.700 7.476
2.749 -3.700 10.463
2.749 -3.700 16.446
2.749 2.452 4.485
2.749 2.110 9.783
2.749 2.110 17.126
2.749 -2.110 0.813
2.749 -2.110 8.156
2.749 -2.452 13.454

No. 9
GGA-PBE Cs2GeTe5, relaxed; calculated volume = 341.2 Å³ per cell
1.0
-3.504 3.504 6.945
3.504 -3.504 6.945
3.504 3.504 -6.945
Cs Ge Te
2 1 5
Cartesian
3.504 0.000 0.000
0.000 3.504 0.000
0.000 0.000 4.595
0.000 0.000 7.151
1.885 1.885 3.526
1.620 -1.620 10.471
-1.620 1.620 10.471
1.620 1.620 10.471

No. 10
GGA-PBE CsGeTe4, relaxed; calculated volume = 564.6 Å³ per cell
1.0
4.883 -8.749 0.000
4.883 8.749 0.000
-4.690 0.000 6.607
Cs Ge Te
2 2 8
Cartesian
1.366 6.145 4.956
3.711 -6.145 1.652
1.366 0.266 4.956
3.711 -0.266 1.652
-2.541 1.034 6.187
-0.197 -1.034 2.884
-0.077 2.367 5.896
2.809 2.367 4.015
2.268 -2.367 2.592
5.154 -2.367 0.712
5.273 1.034 3.724
7.618 -1.034 0.420

No. 11
GGA-PBE Cs3Ge2Te5, relaxed; calculated volume = 897.2 Å³ per cell
1.0
-4.747 11.427 4.135
4.747 -11.427 4.135
4.747 11.427 -4.135
Cs Ge Te
6 4 10
Cartesian
6.185 3.673 0.000
0.000 0.000 2.067
1.437 7.754 0.000
3.310 3.673 4.135
0.000 0.000 6.202
-1.437 7.754 4.135
0.296 2.892 0.000
5.043 8.535 0.000
-0.296 2.892 4.135
4.451 8.535 4.135
4.747 6.768 -2.067
2.884 1.685 0.000
4.747 0.000 2.067
2.884 -1.685 4.135
0.000 4.660 2.067
4.747 6.768 2.067
1.863 13.112 0.000
0.000 11.427 2.067
1.863 9.742 4.135
0.000 4.660 6.202

No. 12
GGA-PBE Cs3GeTe4, relaxed; calculated volume = 412.5 Å³ per cell
1.0
-3.411 7.800 3.876
3.411 -7.800 3.876
3.411 7.800 -3.876
Cs Ge Te
3 1 4
Cartesian
0.000 0.000 0.000
3.411 -3.307 3.022
3.411 3.307 3.022
0.000 7.800 1.786
3.411 2.223 -0.743
1.847 7.800 -0.080
1.564 0.000 3.796
0.000 5.577 3.134

Values for electronic total energy, eV per atom, ordered as above
-4.22, -2.70, -2.20, -4.29, -4.48, -5.47, -3.29, -3.17, -3.12, -3.29, -3.15, -3.17